DFT (meta-GGA SCAN) results for NaCa4B3O9 at its PBEsol-relaxed geometry.

a b c (Å): 10.636 6.453 6.453
angles (deg): 120.03 90.00 90.00
Sites, in units of the cell vectors:
Na 0.250 0.073 0.927
Na 0.750 0.927 0.073
Ca 0.000 0.569 0.569
Ca 0.028 0.715 0.143
Ca 0.250 0.145 0.447
Ca 0.472 0.715 0.143
Ca 0.500 0.569 0.569
Ca 0.528 0.143 0.715
Ca 0.750 0.447 0.145
Ca 0.972 0.143 0.715
B 0.000 0.145 0.145
B 0.250 0.551 0.894
B 0.250 0.703 0.460
B 0.500 0.145 0.145
B 0.750 0.460 0.703
B 0.750 0.894 0.551
O 0.000 0.932 0.932
O 0.028 0.147 0.355
O 0.138 0.426 0.805
O 0.138 0.837 0.515
O 0.250 0.461 0.371
O 0.250 0.789 0.069
O 0.362 0.426 0.805
O 0.362 0.837 0.515
O 0.472 0.147 0.355
O 0.500 0.932 0.932
O 0.528 0.355 0.147
O 0.638 0.515 0.837
O 0.638 0.805 0.426
O 0.750 0.069 0.789
O 0.750 0.371 0.461
O 0.862 0.515 0.837
O 0.862 0.805 0.426
O 0.972 0.355 0.147

---

DFT (meta-GGA SCAN) results for CaNb2B at its PBEsol-relaxed geometry.

a b c (Å): 5.518 5.518 12.775
angles (deg): 90.00 90.00 90.00
Sites, in units of the cell vectors:
Ca 0.000 0.250 0.375
Ca 0.000 0.750 0.625
Ca 0.500 0.250 0.125
Ca 0.500 0.750 0.875
Nb 0.000 0.000 0.000
Nb 0.000 0.500 0.000
Nb 0.250 0.250 0.750
Nb 0.250 0.750 0.250
Nb 0.500 0.000 0.500
Nb 0.500 0.500 0.500
Nb 0.750 0.250 0.750
Nb 0.750 0.750 0.250
B 0.000 0.250 0.875
B 0.000 0.750 0.125
B 0.500 0.250 0.625
B 0.500 0.750 0.375

- DFT formation energy (meV per atom) = 981.7

---

DFT (meta-GGA SCAN) results for CaNbBP2 at its PBEsol-relaxed geometry.

a b c (Å): 4.884 4.884 4.887
angles (deg): 90.00 90.00 90.00
Sites, in units of the cell vectors:
Ca 0.000 0.000 0.000
Nb 0.000 0.000 0.500
B 0.500 0.500 0.500
P 0.000 0.500 0.000
P 0.500 0.000 0.000

- DFT formation energy (meV per atom) = 2471.8

---

DFT (meta-GGA SCAN) results for CaNi12B6 at its PBEsol-relaxed geometry.

a b c (Å): 5.952 5.952 5.952
angles (deg): 104.44 104.44 104.44
Sites, in units of the cell vectors:
Ca 0.000 0.000 0.000
Ni 0.131 0.500 0.869
Ni 0.131 0.869 0.500
Ni 0.186 0.455 0.455
Ni 0.455 0.186 0.455
Ni 0.455 0.455 0.186
Ni 0.500 0.131 0.869
Ni 0.500 0.869 0.131
Ni 0.545 0.545 0.814
Ni 0.545 0.814 0.545
Ni 0.814 0.545 0.545
Ni 0.869 0.131 0.500
Ni 0.869 0.500 0.131
B 0.237 0.237 0.669
B 0.237 0.669 0.237
B 0.331 0.763 0.763
B 0.669 0.237 0.237
B 0.763 0.331 0.763
B 0.763 0.763 0.331

- DFT formation energy (meV per atom) = -366.5

---

DFT (meta-GGA SCAN) results for CaNi4B at its PBEsol-relaxed geometry.

a b c (Å): 4.961 4.961 6.764
angles (deg): 90.00 90.00 120.00
Sites, in units of the cell vectors:
Ca 0.000 0.000 0.000
Ca 0.000 0.000 0.500
Ni 0.000 0.500 0.207
Ni 0.000 0.500 0.793
Ni 0.333 0.667 0.500
Ni 0.500 0.000 0.207
Ni 0.500 0.000 0.793
Ni 0.500 0.500 0.207
Ni 0.500 0.500 0.793
Ni 0.667 0.333 0.500
B 0.333 0.667 0.000
B 0.667 0.333 0.000

- DFT formation energy (meV per atom) = -277.6

---

DFT (meta-GGA SCAN) results for Ca2Ni21B6 at its PBEsol-relaxed geometry.

a b c (Å): 7.435 7.435 7.435
angles (deg): 60.00 60.00 60.00
Sites, in units of the cell vectors:
Ca 0.250 0.250 0.250
Ca 0.750 0.750 0.750
Ni 0.000 0.000 0.000
Ni 0.000 0.000 0.336
Ni 0.000 0.000 0.664
Ni 0.000 0.336 0.000
Ni 0.000 0.336 0.664
Ni 0.000 0.664 0.000
Ni 0.000 0.664 0.336
Ni 0.162 0.613 0.613
Ni 0.336 0.000 0.000
Ni 0.336 0.000 0.664
Ni 0.336 0.664 0.000
Ni 0.387 0.387 0.387
Ni 0.387 0.387 0.838
Ni 0.387 0.838 0.387
Ni 0.613 0.162 0.613
Ni 0.613 0.613 0.162
Ni 0.613 0.613 0.613
Ni 0.664 0.000 0.000
Ni 0.664 0.000 0.336
Ni 0.664 0.336 0.000
Ni 0.838 0.387 0.387
B 0.272 0.272 0.728
B 0.272 0.728 0.272
B 0.272 0.728 0.728
B 0.728 0.272 0.272
B 0.728 0.272 0.728
B 0.728 0.728 0.272

- DFT formation energy (meV per atom) = -218.5

---

no.,E_tot (Ry/atom)
1,-0.748
2,-1.459
3,-0.862
4,-0.988
5,-1.022
6,-1.039